PBE Pm6Ge3TeP2, optimized geometry; calculated total energy = -69.793 eV for the cell shown
1.0
4.157 0.000 0.000
0.000 8.708 0.217
-2.079 -2.608 8.965
Pm Ge P Te
6 3 2 1
Cartesian
0.000 6.147 6.079
0.000 1.991 6.018
2.079 3.807 9.041
2.079 -0.047 3.103
0.000 2.293 0.140
2.079 4.109 3.163
0.000 6.383 3.114
2.079 4.354 0.108
2.079 -0.283 6.068
2.079 4.067 6.101
0.000 2.033 3.081
2.079 0.000 0.000

***

PBE Na2LiHg4, optimized geometry; calculated total energy = -6.573 eV for the cell shown; formation energy = -0.12 eV per atom; E above lowest polymorph = 12.3 kJ/mol of atoms
1.0
5.095 0.000 0.000
0.000 5.095 0.000
-2.548 -2.548 7.767
Hg Li Na
4 1 2
Cartesian
0.000 0.000 2.720
2.548 2.548 5.047
0.000 2.548 0.000
2.548 0.000 0.000
0.000 0.000 0.000
0.000 0.000 5.760
2.548 2.548 2.007